Record 1
Co2SnMo | PBE-GGA | relaxed

Lattice parameters (Å, degrees): 3.994 3.994 16.210 90.00 90.00 90.00
Positions (direct):
Co 0.216 0.250 0.125
Co 0.250 0.716 0.375
Co 0.250 0.784 0.875
Co 0.284 0.250 0.625
Co 0.716 0.750 0.625
Co 0.750 0.216 0.875
Co 0.750 0.284 0.375
Co 0.784 0.750 0.125
Sn 0.000 0.000 0.500
Sn 0.000 0.500 0.750
Sn 0.500 0.000 0.250
Sn 0.500 0.500 0.000
Mo 0.000 0.000 0.000
Mo 0.000 0.500 0.250
Mo 0.500 0.000 0.750
Mo 0.500 0.500 0.500

Properties
DOS at the Fermi energy in states/eV/f.u.: 3.650
Space-group type: I-42d, No. 122
ΔH_f (0 K) in kJ/mol of atoms: 59
DFT total energy in eV/cell: -106.3
M_tot in Bohr magnetons per cell: 0.00

Record 2
CoSnMo2 | PBE-GGA | relaxed

Lattice parameters (Å, degrees): 7.181 7.181 5.229 90.00 90.00 90.00
Positions (direct):
Co 0.000 0.000 0.000
Co 0.000 0.500 0.250
Co 0.500 0.000 0.750
Co 0.500 0.500 0.500
Sn 0.000 0.000 0.500
Sn 0.000 0.500 0.750
Sn 0.500 0.000 0.250
Sn 0.500 0.500 0.000
Mo 0.204 0.250 0.125
Mo 0.250 0.704 0.375
Mo 0.250 0.796 0.875
Mo 0.296 0.250 0.625
Mo 0.704 0.750 0.625
Mo 0.750 0.204 0.875
Mo 0.750 0.296 0.375
Mo 0.796 0.750 0.125

Properties
DOS at the Fermi energy in states/eV/f.u.: 4.786
Space-group type: I-42d, No. 122
ΔH_f (0 K) in kJ/mol of atoms: 56
DFT total energy in eV/cell: -121.8
M_tot in Bohr magnetons per cell: 0.00

Record 3
CoSnMo3 | PBE-GGA | relaxed

Lattice parameters (Å, degrees): 4.495 4.495 4.495 90.00 90.00 90.00
Positions (direct):
Co 0.000 0.000 0.000
Sn 0.500 0.500 0.500
Mo 0.000 0.000 0.500
Mo 0.000 0.500 0.000
Mo 0.500 0.000 0.000

Properties
DOS at the Fermi energy in states/eV/f.u.: 3.838
Space-group type: Pm-3m, No. 221
ΔH_f (0 K) in kJ/mol of atoms: 92
Energy above the lowest structure with this stoichiometry in eV/atom: 0.0000
DFT total energy in eV/cell: -38.8
M_tot in Bohr magnetons per cell: 0.00

Record 4
CoTcSnMo | PBE-GGA | relaxed

Lattice parameters (Å, degrees): 6.269 6.269 6.269 90.00 90.00 90.00
Positions (direct):
Co 0.000 0.000 0.000
Co 0.000 0.500 0.500
Co 0.500 0.000 0.500
Co 0.500 0.500 0.000
Tc 0.000 0.000 0.500
Tc 0.000 0.500 0.000
Tc 0.500 0.000 0.000
Tc 0.500 0.500 0.500
Sn 0.250 0.250 0.750
Sn 0.250 0.750 0.250
Sn 0.750 0.250 0.250
Sn 0.750 0.750 0.750
Mo 0.250 0.250 0.250
Mo 0.250 0.750 0.750
Mo 0.750 0.250 0.750
Mo 0.750 0.750 0.250

Properties
DOS at the Fermi energy in states/eV/f.u.: 1.768
Space-group type: F-43m, No. 216
ΔH_f (0 K) in kJ/mol of atoms: 12
DFT total energy in eV/cell: -127.2
M_tot in Bohr magnetons per cell: 7.93

Record 5
Co2SnTeMo | PBE-GGA | relaxed

Lattice parameters (Å, degrees): 4.597 4.597 5.180 90.00 90.00 90.00
Positions (direct):
Co 0.000 0.500 0.000
Co 0.500 0.000 0.000
Sn 0.000 0.000 0.500
Te 0.500 0.500 0.500
Mo 0.500 0.500 0.000

Properties
DOS at the Fermi energy in states/eV/f.u.: 4.932
Space-group type: P4/mmm, No. 123
ΔE_f (raw) in eV/atom: 1.03
DFT total energy in eV/cell: -27.1
M_tot in Bohr magnetons per cell: 0.81

Record 6
TiCoSnMo | PBE-GGA | relaxed

Lattice parameters (Å, degrees): 6.305 6.305 6.305 90.00 90.00 90.00
Positions (direct):
Ti 0.000 0.000 0.000
Ti 0.000 0.500 0.500
Ti 0.500 0.000 0.500
Ti 0.500 0.500 0.000
Co 0.250 0.250 0.750
Co 0.250 0.750 0.250
Co 0.750 0.250 0.250
Co 0.750 0.750 0.750
Sn 0.000 0.000 0.500
Sn 0.000 0.500 0.000
Sn 0.500 0.000 0.000
Sn 0.500 0.500 0.500
Mo 0.250 0.250 0.250
Mo 0.250 0.750 0.750
Mo 0.750 0.250 0.750
Mo 0.750 0.750 0.250

Properties
DOS at the Fermi energy in states/eV/f.u.: 5.084
Space-group type: F-43m, No. 216
ΔH_f (0 K) in kJ/mol of atoms: -4
DFT total energy in eV/cell: -119.9
M_tot in Bohr magnetons per cell: 3.09

Record 7
Tl2CoSnMo | PBE-GGA | relaxed

Lattice parameters (Å, degrees): 5.007 5.007 4.638 90.00 90.00 90.00
Positions (direct):
Tl 0.000 0.500 0.000
Tl 0.500 0.000 0.000
Co 0.000 0.000 0.000
Sn 0.500 0.500 0.500
Mo 0.000 0.000 0.500

Properties
DOS at the Fermi energy in states/eV/f.u.: 4.444
Space-group type: P4/mmm, No. 123
ΔH_f (0 K) in kJ/mol of atoms: 74
DFT total energy in eV/cell: -22.8
M_tot in Bohr magnetons per cell: 1.49

Record 8
CoSnMo2W | PBE-GGA | relaxed

Lattice parameters (Å, degrees): 4.463 4.463 4.533 90.00 90.00 90.00
Positions (direct):
Co 0.000 0.000 0.000
Sn 0.000 0.000 0.500
Mo 0.000 0.500 0.000
Mo 0.500 0.000 0.000
W 0.500 0.500 0.500

Properties
DOS at the Fermi energy in states/eV/f.u.: 6.545
Space-group type: P4/mmm, No. 123
ΔH_f (0 K) in kJ/mol of atoms: 125
DFT total energy in eV/cell: -39.2
M_tot in Bohr magnetons per cell: 0.00

Record 9
SrCoMo2 | PBE-GGA | relaxed

Lattice parameters (Å, degrees): 5.328 10.184 2.678 90.00 90.00 90.00
Positions (direct):
Sr 0.000 0.000 0.000
Sr 0.500 0.500 0.000
Co 0.000 0.500 0.000
Co 0.500 0.000 0.000
Mo 0.250 0.250 0.500
Mo 0.250 0.750 0.500
Mo 0.750 0.250 0.500
Mo 0.750 0.750 0.500

Properties
DOS at the Fermi energy in states/eV/f.u.: 5.409
Space-group type: Cmmm, No. 65
ΔH_f (0 K) in kJ/mol of atoms: 104
Energy above the lowest structure with this stoichiometry in eV/atom: 0.5127
DFT total energy in eV/cell: -52.2
M_tot in Bohr magnetons per cell: 2.81

Record 10
SrCoMo | PBE-GGA | relaxed

Lattice parameters (Å, degrees): 3.957 3.957 5.152 90.00 90.00 120.00
Positions (direct):
Sr 0.000 0.000 0.000
Co 0.667 0.333 0.500
Mo 0.333 0.667 0.500

Properties
DOS at the Fermi energy in states/eV/f.u.: 3.647
Space-group type: P-6m2, No. 187
ΔH_f (0 K) in kJ/mol of atoms: 55
Energy above the lowest structure with this stoichiometry in eV/atom: 0.0169
DFT total energy in eV/cell: -17.9
M_tot in Bohr magnetons per cell: 0.00

Record 11
SrCoMo | PBE-GGA | relaxed

Lattice parameters (Å, degrees): 6.779 6.779 6.779 90.00 90.00 90.00
Positions (direct):
Sr 0.000 0.000 0.000
Sr 0.000 0.500 0.500
Sr 0.500 0.000 0.500
Sr 0.500 0.500 0.000
Co 0.250 0.250 0.250
Co 0.250 0.750 0.750
Co 0.750 0.250 0.750
Co 0.750 0.750 0.250
Mo 0.250 0.250 0.750
Mo 0.250 0.750 0.250
Mo 0.750 0.250 0.250
Mo 0.750 0.750 0.750

Properties
DOS at the Fermi energy in states/eV/f.u.: 8.273
Space-group type: F-43m, No. 216
ΔH_f (0 K) in kJ/mol of atoms: 213
Energy above the lowest structure with this stoichiometry in eV/atom: 1.6496
DFT total energy in eV/cell: -52.0
M_tot in Bohr magnetons per cell: 20.26

Record 12
SrCoMo2 | PBE-GGA | relaxed

Lattice parameters (Å, degrees): 8.270 3.695 6.054 90.00 105.98 90.00
Positions (direct):
Sr 0.000 0.000 0.000
Sr 0.500 0.500 0.000
Co 0.000 0.500 0.500
Co 0.500 0.000 0.500
Mo 0.197 0.000 0.601
Mo 0.303 0.500 0.399
Mo 0.697 0.500 0.601
Mo 0.803 0.000 0.399

Properties
DOS at the Fermi energy in states/eV/f.u.: 4.504
Space-group type: C2/m, No. 12
ΔH_f (0 K) in kJ/mol of atoms: 62
Energy above the lowest structure with this stoichiometry in eV/atom: 0.0754
DFT total energy in eV/cell: -55.7
M_tot in Bohr magnetons per cell: 1.39

Record 13
SrCoMo2 | PBE-GGA | relaxed

Lattice parameters (Å, degrees): 6.570 6.570 6.570 90.00 90.00 90.00
Positions (direct):
Sr 0.000 0.000 0.000
Sr 0.000 0.500 0.500
Sr 0.500 0.000 0.500
Sr 0.500 0.500 0.000
Co 0.250 0.250 0.750
Co 0.250 0.750 0.250
Co 0.750 0.250 0.250
Co 0.750 0.750 0.750
Mo 0.000 0.000 0.500
Mo 0.000 0.500 0.000
Mo 0.250 0.250 0.250
Mo 0.250 0.750 0.750
Mo 0.500 0.000 0.000
Mo 0.500 0.500 0.500
Mo 0.750 0.250 0.750
Mo 0.750 0.750 0.250

Properties
DOS at the Fermi energy in states/eV/f.u.: 5.562
Space-group type: F-43m, No. 216
ΔH_f (0 K) in kJ/mol of atoms: 92
Energy above the lowest structure with this stoichiometry in eV/atom: 0.3873
DFT total energy in eV/cell: -106.5
M_tot in Bohr magnetons per cell: 4.29

Record 14
Sr3CoMo | PBE-GGA | relaxed

Lattice parameters (Å, degrees): 5.704 5.704 5.704 90.00 90.00 90.00
Positions (direct):
Sr 0.000 0.000 0.500
Sr 0.000 0.500 0.000
Sr 0.500 0.000 0.000
Co 0.500 0.500 0.500
Mo 0.000 0.000 0.000

Properties
DOS at the Fermi energy in states/eV/f.u.: 10.232
Space-group type: Pm-3m, No. 221
ΔH_f (0 K) in kJ/mol of atoms: 131
DFT total energy in eV/cell: -16.2
M_tot in Bohr magnetons per cell: 2.28

Record 15
SrCoMo2 | PBE-GGA | relaxed

Lattice parameters (Å, degrees): 4.860 4.860 16.677 90.00 90.00 90.00
Positions (direct):
Sr 0.000 0.250 0.375
Sr 0.000 0.750 0.625
Sr 0.500 0.250 0.125
Sr 0.500 0.750 0.875
Co 0.000 0.250 0.875
Co 0.000 0.750 0.125
Co 0.500 0.250 0.625
Co 0.500 0.750 0.375
Mo 0.000 0.000 0.000
Mo 0.000 0.500 0.000
Mo 0.250 0.250 0.750
Mo 0.250 0.750 0.250
Mo 0.500 0.000 0.500
Mo 0.500 0.500 0.500
Mo 0.750 0.250 0.750
Mo 0.750 0.750 0.250

Properties
DOS at the Fermi energy in states/eV/f.u.: 5.858
Space-group type: I4_1/amd, No. 141
ΔH_f (0 K) in kJ/mol of atoms: 107
Energy above the lowest structure with this stoichiometry in eV/atom: 0.5411
DFT total energy in eV/cell: -104.0
M_tot in Bohr magnetons per cell: 0.00

Record 16
Sr2Co2Mo | PBE-GGA | relaxed

Lattice parameters (Å, degrees): 8.390 8.390 2.930 90.00 90.00 90.00
Positions (direct):
Sr 0.135 0.365 0.000
Sr 0.365 0.865 0.000
Sr 0.635 0.135 0.000
Sr 0.865 0.635 0.000
Co 0.175 0.675 0.500
Co 0.325 0.175 0.500
Co 0.675 0.825 0.500
Co 0.825 0.325 0.500
Mo 0.000 0.000 0.000
Mo 0.500 0.500 0.000

Properties
DOS at the Fermi energy in states/eV/f.u.: 6.375
Space-group type: P4/mbm, No. 127
ΔH_f (0 K) in kJ/mol of atoms: 126
Energy above the lowest structure with this stoichiometry in eV/atom: 0.4624
DFT total energy in eV/cell: -43.8
M_tot in Bohr magnetons per cell: 6.12

Record 17
SrCoMo2 | PBE-GGA | relaxed

Lattice parameters (Å, degrees): 3.820 3.820 10.045 90.00 90.00 90.00
Positions (direct):
Sr 0.000 0.000 0.000
Sr 0.500 0.500 0.500
Co 0.000 0.000 0.500
Co 0.500 0.500 0.000
Mo 0.000 0.500 0.250
Mo 0.000 0.500 0.750
Mo 0.500 0.000 0.250
Mo 0.500 0.000 0.750

Properties
DOS at the Fermi energy in states/eV/f.u.: 6.024
Space-group type: I4/mmm, No. 139
ΔH_f (0 K) in kJ/mol of atoms: 104
Energy above the lowest structure with this stoichiometry in eV/atom: 0.5045
DFT total energy in eV/cell: -52.3
M_tot in Bohr magnetons per cell: 0.90

Record 18
Sr2Co2Mo | PBE-GGA | relaxed

Lattice parameters (Å, degrees): 3.267 3.267 20.687 90.00 90.00 90.00
Positions (direct):
Sr 0.000 0.000 0.119
Sr 0.000 0.000 0.881
Sr 0.500 0.500 0.381
Sr 0.500 0.500 0.619
Co 0.000 0.500 0.250
Co 0.000 0.500 0.750
Co 0.500 0.000 0.250
Co 0.500 0.000 0.750
Mo 0.000 0.000 0.500
Mo 0.500 0.500 0.000

Properties
DOS at the Fermi energy in states/eV/f.u.: 5.001
Space-group type: I4/mmm, No. 139
ΔH_f (0 K) in kJ/mol of atoms: 81
Energy above the lowest structure with this stoichiometry in eV/atom: 0.0000
DFT total energy in eV/cell: -48.4
M_tot in Bohr magnetons per cell: 5.81

Record 19
SrCoMo2 | PBE-GGA | relaxed

Lattice parameters (Å, degrees): 3.791 3.791 5.131 90.00 90.00 90.00
Positions (direct):
Sr 0.000 0.000 0.000
Co 0.500 0.500 0.000
Mo 0.000 0.500 0.500
Mo 0.500 0.000 0.500

Properties
DOS at the Fermi energy in states/eV/f.u.: 5.469
Space-group type: P4/mmm, No. 123
ΔH_f (0 K) in kJ/mol of atoms: 103
Energy above the lowest structure with this stoichiometry in eV/atom: 0.4991
DFT total energy in eV/cell: -26.2
M_tot in Bohr magnetons per cell: 0.71

Record 20
SrCoMo2 | PBE-GGA | relaxed

Lattice parameters (Å, degrees): 8.984 3.290 6.202 90.00 108.90 90.00
Positions (direct):
Sr 0.000 0.000 0.000
Sr 0.500 0.500 0.000
Co 0.242 0.000 0.631
Co 0.742 0.500 0.631
Mo 0.030 0.500 0.533
Mo 0.313 0.500 0.390
Mo 0.530 0.000 0.533
Mo 0.813 0.000 0.390

Properties
DOS at the Fermi energy in states/eV/f.u.: 4.294
Space-group type: Cm, No. 8
ΔH_f (0 K) in kJ/mol of atoms: 65
Energy above the lowest structure with this stoichiometry in eV/atom: 0.1076
DFT total energy in eV/cell: -55.5
M_tot in Bohr magnetons per cell: 0.00